# Ca3Ag2Sn4 | Alexandria | GGA-PBE | optimized geometry
data_Ca3Ag2Sn4
_chemical_formula_sum 'Ca3 Ag2 Sn4'
_cell_length_a 6.3489
_cell_length_b 6.3489
_cell_length_c 9.0060
_cell_angle_alpha 103.20
_cell_angle_beta 103.20
_cell_angle_gamma 43.35
_space_group_name_H-M_alt 'P 1'
_space_group_IT_number 1
loop_
_space_group_symop_operation_xyz
'x,y,z'
loop_
_atom_site_label
_atom_site_type_symbol
_atom_site_fract_x
_atom_site_fract_y
_atom_site_fract_z
Ca1 Ca 0.0000 0.0000 0.0000
Ca2 Ca 0.3756 0.3756 0.3039
Ca3 Ca 0.6244 0.6244 0.6961
Ag1 Ag 0.2962 0.2962 0.6149
Ag2 Ag 0.7038 0.7038 0.3851
Sn1 Sn 0.0740 0.0740 0.3895
Sn2 Sn 0.2966 0.2966 0.9294
Sn3 Sn 0.7034 0.7034 0.0706
Sn4 Sn 0.9260 0.9260 0.6105
# - space group = C2/m
# - E_form (kJ/mol of atoms) = -46



# MgTc2W | Alexandria | GGA-PBE | optimized geometry
data_MgTc2W
_chemical_formula_sum 'Mg1 Tc2 W1'
_cell_length_a 2.7956
_cell_length_b 2.7956
_cell_length_c 8.1879
_cell_angle_alpha 90.00
_cell_angle_beta 90.00
_cell_angle_gamma 90.00
_space_group_name_H-M_alt 'P 1'
_space_group_IT_number 1
loop_
_space_group_symop_operation_xyz
'x,y,z'
loop_
_atom_site_label
_atom_site_type_symbol
_atom_site_fract_x
_atom_site_fract_y
_atom_site_fract_z
Mg1 Mg 0.0000 0.0000 0.0000
Tc1 Tc 0.0000 0.0000 0.4772
Tc2 Tc 0.5000 0.5000 0.2616
W1 W 0.5000 0.5000 0.7204
# - space group = P4mm
# - E_form (kJ/mol of atoms) = 25



# Mg2CdRe | Alexandria | GGA-PBE | optimized geometry
data_Mg2CdRe
_chemical_formula_sum 'Mg2 Cd1 Re1'
_cell_length_a 5.6637
_cell_length_b 5.6637
_cell_length_c 5.6637
_cell_angle_alpha 149.21
_cell_angle_beta 128.20
_cell_angle_gamma 61.48
_space_group_name_H-M_alt 'P 1'
_space_group_IT_number 1
loop_
_space_group_symop_operation_xyz
'x,y,z'
loop_
_atom_site_label
_atom_site_type_symbol
_atom_site_fract_x
_atom_site_fract_y
_atom_site_fract_z
Mg1 Mg 0.2394 0.2394 0.0000
Mg2 Mg 0.7606 0.7606 0.0000
Cd1 Cd 0.5000 0.0000 0.5000
Re1 Re 0.0000 0.5000 0.5000
# - space group = Immm
# - E_form (kJ/mol of atoms) = 37



# Ta2FeIr | Alexandria | GGA-PBE | optimized geometry
data_Ta2FeIr
_chemical_formula_sum 'Ta2 Fe1 Ir1'
_cell_length_a 9.1828
_cell_length_b 9.1828
_cell_length_c 9.1828
_cell_angle_alpha 17.97
_cell_angle_beta 17.97
_cell_angle_gamma 17.97
_space_group_name_H-M_alt 'P 1'
_space_group_IT_number 1
loop_
_space_group_symop_operation_xyz
'x,y,z'
loop_
_atom_site_label
_atom_site_type_symbol
_atom_site_fract_x
_atom_site_fract_y
_atom_site_fract_z
Ta1 Ta 0.0000 0.0000 0.0000
Ta2 Ta 0.2390 0.2390 0.2390
Fe1 Fe 0.7480 0.7480 0.7480
Ir1 Ir 0.4907 0.4907 0.4907
# - space group = R3m
# - E_form (kJ/mol of atoms) = 7



# SiRu3I | Alexandria | GGA-PBE | optimized geometry
data_SiRu3I
_chemical_formula_sum 'Si1 Ru3 I1'
_cell_length_a 4.4896
_cell_length_b 4.4896
_cell_length_c 4.4896
_cell_angle_alpha 90.00
_cell_angle_beta 90.00
_cell_angle_gamma 90.00
_space_group_name_H-M_alt 'P 1'
_space_group_IT_number 1
loop_
_space_group_symop_operation_xyz
'x,y,z'
loop_
_atom_site_label
_atom_site_type_symbol
_atom_site_fract_x
_atom_site_fract_y
_atom_site_fract_z
Si1 Si 0.0000 0.0000 0.0000
Ru1 Ru 0.0000 0.0000 0.5000
Ru2 Ru 0.0000 0.5000 0.0000
Ru3 Ru 0.5000 0.0000 0.0000
I1 I 0.5000 0.5000 0.5000
# - space group = Pm-3m
# - energy above the most stable polymorph in this dataset (meV/atom) = 0
# - formation energy (no corrections) (eV per atom) = 0.9409



# AlGe | Alexandria | GGA-PBE | optimized geometry
data_AlGe
_chemical_formula_sum 'Al4 Ge4'
_cell_length_a 6.8604
_cell_length_b 6.8604
_cell_length_c 6.8604
_cell_angle_alpha 109.47
_cell_angle_beta 109.47
_cell_angle_gamma 109.47
_space_group_name_H-M_alt 'P 1'
_space_group_IT_number 1
loop_
_space_group_symop_operation_xyz
'x,y,z'
loop_
_atom_site_label
_atom_site_type_symbol
_atom_site_fract_x
_atom_site_fract_y
_atom_site_fract_z
Al1 Al 0.0000 0.0000 0.7067
Al2 Al 0.0000 0.7067 0.0000
Al3 Al 0.2933 0.2933 0.2933
Al4 Al 0.7067 0.0000 0.0000
Ge1 Ge 0.0000 0.0000 0.3481
Ge2 Ge 0.0000 0.3481 0.0000
Ge3 Ge 0.3481 0.0000 0.0000
Ge4 Ge 0.6519 0.6519 0.6519
# - space group = I-43m
# - E_form (kJ/mol of atoms) = 38



# Pm2Pr6DyMg | Alexandria | GGA-PBE | optimized geometry
data_Pm2Pr6DyMg
_chemical_formula_sum 'Pm4 Pr12 Dy2 Mg2'
_cell_length_a 8.9537
_cell_length_b 8.9537
_cell_length_c 9.6892
_cell_angle_alpha 93.99
_cell_angle_beta 93.99
_cell_angle_gamma 116.52
_space_group_name_H-M_alt 'P 1'
_space_group_IT_number 1
loop_
_space_group_symop_operation_xyz
'x,y,z'
loop_
_atom_site_label
_atom_site_type_symbol
_atom_site_fract_x
_atom_site_fract_y
_atom_site_fract_z
Pm1 Pm 0.1999 0.2974 0.4493
Pm2 Pm 0.2974 0.1999 0.9493
Pm3 Pm 0.7026 0.8001 0.0507
Pm4 Pm 0.8001 0.7026 0.5507
Pr1 Pr 0.0018 0.2074 0.1113
Pr2 Pr 0.0700 0.4985 0.6968
Pr3 Pr 0.2074 0.0018 0.6113
Pr4 Pr 0.2630 0.6260 0.0505
Pr5 Pr 0.3740 0.7370 0.4495
Pr6 Pr 0.4985 0.0700 0.1968
Pr7 Pr 0.5015 0.9300 0.8032
Pr8 Pr 0.6260 0.2630 0.5505
Pr9 Pr 0.7370 0.3740 0.9495
Pr10 Pr 0.7926 0.9982 0.3887
Pr11 Pr 0.9300 0.5015 0.3032
Pr12 Pr 0.9982 0.7926 0.8887
Dy1 Dy 0.4799 0.5201 0.7500
Dy2 Dy 0.5201 0.4799 0.2500
Mg1 Mg 0.0893 0.9107 0.2500
Mg2 Mg 0.9107 0.0893 0.7500
# - space group = C2/c
# - E_form (kJ/mol of atoms) = 10



# BaRuBr3 | Alexandria | GGA-PBE | optimized geometry
data_BaRuBr3
_chemical_formula_sum 'Ba1 Ru1 Br3'
_cell_length_a 6.2483
_cell_length_b 6.2483
_cell_length_c 6.2483
_cell_angle_alpha 90.00
_cell_angle_beta 90.00
_cell_angle_gamma 90.00
_space_group_name_H-M_alt 'P 1'
_space_group_IT_number 1
loop_
_space_group_symop_operation_xyz
'x,y,z'
loop_
_atom_site_label
_atom_site_type_symbol
_atom_site_fract_x
_atom_site_fract_y
_atom_site_fract_z
Ba1 Ba 0.0000 0.0000 0.0000
Ru1 Ru 0.5000 0.5000 0.5000
Br1 Br 0.0000 0.0000 0.5000
Br2 Br 0.0000 0.5000 0.0000
Br3 Br 0.5000 0.0000 0.0000
# - space group = Pm-3m
# - energy above the most stable polymorph in this dataset (meV/atom) = 714
# - formation energy (no corrections) (eV per atom) = -0.0856



# Pm6PdS5 | Alexandria | GGA-PBE | optimized geometry
data_Pm6PdS5
_chemical_formula_sum 'Pm6 Pd1 S5'
_cell_length_a 7.0308
_cell_length_b 7.0308
_cell_length_c 7.0347
_cell_angle_alpha 99.62
_cell_angle_beta 99.62
_cell_angle_gamma 119.89
_space_group_name_H-M_alt 'P 1'
_space_group_IT_number 1
loop_
_space_group_symop_operation_xyz
'x,y,z'
loop_
_atom_site_label
_atom_site_type_symbol
_atom_site_fract_x
_atom_site_fract_y
_atom_site_fract_z
Pm1 Pm 0.0762 0.4170 0.7477
Pm2 Pm 0.2448 0.2448 0.2550
Pm3 Pm 0.4170 0.0762 0.7477
Pm4 Pm 0.5830 0.9238 0.2523
Pm5 Pm 0.7552 0.7552 0.7450
Pm6 Pm 0.9238 0.5830 0.2523
Pd1 Pd 0.5000 0.5000 0.0000
S1 S 0.0000 0.0000 0.5000
S2 S 0.1659 0.8341 0.0000
S3 S 0.3332 0.6668 0.5000
S4 S 0.6668 0.3332 0.5000
S5 S 0.8341 0.1659 0.0000
# - space group = C2/m
# - formation energy (no corrections) (eV per atom) = -1.8216



# KZn4Se | Alexandria | GGA-PBE | optimized geometry
data_KZn4Se
_chemical_formula_sum 'K1 Zn4 Se1'
_cell_length_a 5.6607
_cell_length_b 5.6607
_cell_length_c 5.6607
_cell_angle_alpha 60.00
_cell_angle_beta 60.00
_cell_angle_gamma 60.00
_space_group_name_H-M_alt 'P 1'
_space_group_IT_number 1
loop_
_space_group_symop_operation_xyz
'x,y,z'
loop_
_atom_site_label
_atom_site_type_symbol
_atom_site_fract_x
_atom_site_fract_y
_atom_site_fract_z
K1 K 0.0000 0.0000 0.0000
Zn1 Zn 0.3773 0.3773 0.3773
Zn2 Zn 0.3773 0.3773 0.8680
Zn3 Zn 0.3773 0.8680 0.3773
Zn4 Zn 0.8680 0.3773 0.3773
Se1 Se 0.7500 0.7500 0.7500
# - space group = F-43m
# - formation energy (no corrections) (eV per atom) = 0.0669



# Li2CuRh | Alexandria | GGA-PBE | optimized geometry
data_Li2CuRh
_chemical_formula_sum 'Li2 Cu1 Rh1'
_cell_length_a 2.6118
_cell_length_b 2.6118
_cell_length_c 8.6377
_cell_angle_alpha 90.00
_cell_angle_beta 90.00
_cell_angle_gamma 114.58
_space_group_name_H-M_alt 'P 1'
_space_group_IT_number 1
loop_
_space_group_symop_operation_xyz
'x,y,z'
loop_
_atom_site_label
_atom_site_type_symbol
_atom_site_fract_x
_atom_site_fract_y
_atom_site_fract_z
Li1 Li 0.0000 0.0000 0.2444
Li2 Li 0.0000 0.0000 0.7556
Cu1 Cu 0.5000 0.5000 0.5000
Rh1 Rh 0.5000 0.5000 0.0000
# - space group = Cmmm
# - E_form (kJ/mol of atoms) = -8
# - energy above the most stable polymorph in this dataset (meV/atom) = 49



# Zr3BiH | Alexandria | GGA-PBE | optimized geometry
data_Zr3BiH
_chemical_formula_sum 'Zr6 Bi2 H2'
_cell_length_a 5.7212
_cell_length_b 5.7297
_cell_length_c 7.3703
_cell_angle_alpha 101.47
_cell_angle_beta 102.16
_cell_angle_gamma 117.64
_space_group_name_H-M_alt 'P 1'
_space_group_IT_number 1
loop_
_space_group_symop_operation_xyz
'x,y,z'
loop_
_atom_site_label
_atom_site_type_symbol
_atom_site_fract_x
_atom_site_fract_y
_atom_site_fract_z
Zr1 Zr 0.0000 0.0000 0.0000
Zr2 Zr 0.0474 0.9434 0.4943
Zr3 Zr 0.1739 0.5842 0.7847
Zr4 Zr 0.4125 0.7898 0.2064
Zr5 Zr 0.5471 0.4364 0.4971
Zr6 Zr 0.5944 0.3862 0.9883
Bi1 Bi 0.6214 0.0056 0.6597
Bi2 Bi 0.9630 0.3631 0.3308
H1 H 0.2443 0.0309 0.2801
H2 H 0.8129 0.5953 0.8026
# - space group = P1
# - energy above the most stable polymorph in this dataset (meV/atom) = 11